1.
# BaNbAg2Bi

An optimized crystal structure of BaNbAg2Bi (PBE, Alexandria via LeMat-Bulk).

Cell: 5.407 5.407 6.679 Å, 90.00 90.00 90.00°
Space group P4/mmm (No. 123)
Inequivalent atoms, fractional coordinates:
Ba (0.000, 0.000, 0.000) (multiplicity 1)
Nb (0.500, 0.500, 0.000) (multiplicity 1)
Ag (0.000, 0.500, 0.500) (multiplicity 2)
Bi (0.000, 0.000, 0.500) (multiplicity 1)

Computed properties:
Total magnetic moment   4.971 μB/f.u.
ΔH_f (0 K)   1082.6 meV/atom
Theoretical density   5.57 Mg/m³
V   195 Å³/cell



2.
# Mg15AlCd4

An optimized crystal structure of Mg15AlCd4 (PBE, Alexandria via LeMat-Bulk).

Cell: 4.523 4.523 21.367 Å, 90.00 90.00 90.00°
Space group P4/mmm (No. 123)
Inequivalent atoms, fractional coordinates:
Mg (0.000, 0.000, 0.000) (multiplicity 1)
Mg (0.000, 0.000, 0.199) (multiplicity 2)
Mg (0.000, 0.000, 0.399) (multiplicity 2)
Mg (0.000, 0.500, 0.098) (multiplicity 4)
Mg (0.000, 0.500, 0.299) (multiplicity 4)
Mg (0.000, 0.500, 0.500) (multiplicity 2)
Al (0.500, 0.500, 0.000) (multiplicity 1)
Cd (0.500, 0.500, 0.199) (multiplicity 2)
Cd (0.500, 0.500, 0.400) (multiplicity 2)

Computed properties:
Total magnetic moment   0.000 μB/f.u.
ΔH_f (0 K)   -57.9 meV/atom
Theoretical density   3.19 Mg/m³
V   437 Å³/cell



3.
# Ce5AsSe4

An optimized crystal structure of Ce5AsSe4 (PBE, Alexandria via LeMat-Bulk).

Cell: 9.405 9.405 5.947 Å, 90.00 90.00 90.00°
Space group I4/m (No. 87)
Inequivalent atoms, fractional coordinates:
Ce (0.000, 0.000, 0.000) (multiplicity 2)
Ce (0.099, 0.702, 0.500) (multiplicity 8)
As (0.000, 0.000, 0.500) (multiplicity 2)
Se (0.100, 0.700, 0.000) (multiplicity 8)

Computed properties:
Total magnetic moment   4.328 μB/f.u.
Theoretical density   6.89 Mg/m³
V   526 Å³/cell
Energy relative to the lowest polymorph listed for this composition   0.000 eV/f.u.



4.
# Sc3HN2

An optimized crystal structure of Sc3HN2 (PBE, Alexandria via LeMat-Bulk).

Cell: 10.625 3.229 8.953 Å, 90.00 114.12 90.00°
Space group C2/m (No. 12)
Inequivalent atoms, fractional coordinates:
Sc (0.016, 0.000, 0.257) (multiplicity 4)
Sc (0.155, 0.500, 0.080) (multiplicity 4)
Sc (0.163, 0.500, 0.574) (multiplicity 4)
H (0.162, 0.500, 0.832) (multiplicity 4)
N (0.000, 0.000, 0.000) (multiplicity 2)
N (0.000, 0.000, 0.500) (multiplicity 2)
N (0.169, 0.500, 0.331) (multiplicity 4)

Computed properties:
Total magnetic moment   0.000 μB/f.u.
Theoretical density   3.88 Mg/m³
V   280 Å³/cell



5.
# Pm13Cd2

An optimized crystal structure of Pm13Cd2 (PBE, Alexandria via LeMat-Bulk).

Cell: 6.848 8.774 9.159 Å, 65.77 80.03 82.58°
Space group P-1 (No. 2)
Inequivalent atoms, fractional coordinates:
Pm (0.000, 0.000, 0.000) (multiplicity 1)
Pm (0.128, 0.475, 0.739) (multiplicity 2)
Pm (0.198, 0.234, 0.155) (multiplicity 2)
Pm (0.252, 0.938, 0.580) (multiplicity 2)
Pm (0.305, 0.657, 0.975) (multiplicity 2)
Pm (0.362, 0.414, 0.394) (multiplicity 2)
Pm (0.500, 0.138, 0.796) (multiplicity 2)
Cd (0.058, 0.768, 0.381) (multiplicity 2)

Computed properties:
Total magnetic moment   0.000 μB/f.u.
ΔH_f (0 K)   -43.5 meV/atom
Theoretical density   7.10 Mg/m³
V   493 Å³/cell



6.
# PuAgS4

An optimized crystal structure of PuAgS4 (PBE, Alexandria via LeMat-Bulk).

Cell: 7.448 7.351 11.958 Å, 90.00 90.00 90.00°
Space group Cmcm (No. 63)
Inequivalent atoms, fractional coordinates:
Pu (0.000, 0.112, 0.250) (multiplicity 4)
Ag (0.000, 0.378, 0.750) (multiplicity 4)
S (0.000, 0.131, 0.024) (multiplicity 8)
S (0.244, 0.367, 0.250) (multiplicity 8)

Computed properties:
Total magnetic moment   3.209 μB/f.u.
Theoretical density   4.87 Mg/m³
V   655 Å³/cell



| no. | VASP energy (eV per cell) |
| --- | --- |
| 1 | -16.2 |
| 2 | -32.5 |
| 3 | -131.6 |
| 4 | -190.4 |
| 5 | -64.2 |
| 6 | -148.4 |